*w*
A relaxed structure of InPOs2, computed with PBEsol.

Cell lengths 2.868, 4.919, 5.154 Å; angles 118.50, 106.16, 90.00 degrees
Fractional positions:
In 0.000 0.500 0.000
Os 0.786 0.786 0.573
Os 0.214 0.214 0.427
P 0.500 0.000 0.000

Fermi-level density of states: 2.55 states/eV per cell
symmetry: Immm, No. 71
magnetic moment: 0.00 μB per cell

***

*x*
A relaxed structure of InPOs2, computed with PBEsol.

Cell lengths 2.956, 3.040, 7.325 Å; angles 101.98, 101.64, 90.00 degrees
Fractional positions:
In 0.305 0.805 0.610
Os 0.975 0.975 0.951
Os 0.671 0.171 0.342
P 0.549 0.549 0.098

Fermi-level density of states: 1.96 states/eV per cell
symmetry: Imm2, No. 44
magnetic moment: 0.00 μB per cell

***

*y*
A relaxed structure of InPOs2, computed with PBEsol.

Cell lengths 2.931, 2.931, 6.754 Å; angles 90.00, 90.00, 90.00 degrees
Fractional positions:
In 0.500 0.500 0.500
Os 0.000 0.000 0.796
Os 0.000 0.000 0.204
P 0.500 0.500 0.000

Fermi-level density of states: 2.80 states/eV per cell
symmetry: P4/mmm, No. 123
magnetic moment: 0.00 μB per cell

***

Order of stability, best first: *x*, *y*, *w*